# 1
Compound: SmTm2V
Source: the Alexandria database
Functional: PBE
Structure: optimized geometry

Calculated values
Its crystal system is tetragonal. The calculation puts the final energy at -0.405 Ry/atom. The theoretical density is 8.21 Mg/m³.

Geometry as POSCAR:
```
SmTm2V
1.0
-2.1424 -0.2743 -2.8224
2.0737 -2.5642 -1.3250
-4.6998 -5.9427 4.1451
Tm Sm V
2 1 1
direct
0.0000 0.0000 0.8033
0.0000 0.0000 0.1967
0.5000 0.5000 0.5000
0.5000 0.5000 0.0000
```



# 2
Compound: AlSbCl2
Source: the Alexandria database
Functional: PBE
Structure: optimized geometry

Calculated values
As for the formation energy (no corrections): -397 meV per atom. Its crystal system is monoclinic. The theoretical density is 3.04 Mg/m³.

Geometry as POSCAR:
```
AlSbCl2
1.0
-0.5049 -4.0053 -5.8632
2.5434 -3.6337 -5.5679
0.6333 -6.0197 1.0386
Sb Al Cl
1 1 2
direct
0.7500 0.7500 0.7500
0.2500 0.2500 0.2500
0.8869 0.8869 0.1214
0.6131 0.6131 0.3786
```



# 3
Compound: NpTlPb2
Source: the Alexandria database
Functional: PBE
Structure: optimized geometry

Calculated values
Its crystal system is tetragonal. The calculation puts the final energy at -0.405 Ry/atom. The theoretical density is 12.07 Mg/m³.

Geometry as POSCAR:
```
NpTlPb2
1.0
-3.1097 -0.8471 -0.8156
0.9416 -0.4122 -3.1618
2.2562 -10.2108 2.0030
Np Pb Tl
1 2 1
direct
0.5000 0.5000 0.0000
0.0000 0.0000 0.7648
0.0000 0.0000 0.2352
0.5000 0.5000 0.5000
```